Record 1
# Si2MoOs, optimized geometry, DFT GGA-PBE
# E_form (uncorrected) in meV per atom: 58
# Size of the total moment in μB/f.u.: 0.000
# Symmetry: Immm
data_Si2MoOs
_chemical_formula_sum 'Si2 Mo1 Os1'
_space_group_name_H-M_alt 'P 1'
_space_group_IT_number 1
_space_group_name_Hall 'P 1'
_cell_length_a 4.8956
_cell_length_b 4.8956
_cell_length_c 4.8956
_cell_angle_alpha 144.96
_cell_angle_beta 119.51
_cell_angle_gamma 71.86
loop_
_atom_site_label
_atom_site_type_symbol
_atom_site_fract_x
_atom_site_fract_y
_atom_site_fract_z
Si1 Si 0.2447 0.2447 0.0000
Si2 Si 0.7553 0.7553 0.0000
Mo1 Mo 0.5000 0.0000 0.5000
Os1 Os 0.0000 0.5000 0.5000

=====

Record 2
# Si2MoOs, optimized geometry, DFT GGA-PBE
# E_form (uncorrected) in meV per atom: 68
# Size of the total moment in μB/f.u.: 0.000
# Symmetry: Cmmm
data_Si2MoOs
_chemical_formula_sum 'Si2 Mo1 Os1'
_space_group_name_H-M_alt 'P 1'
_space_group_IT_number 1
_space_group_name_Hall 'P 1'
_cell_length_a 2.8644
_cell_length_b 2.8644
_cell_length_c 7.8503
_cell_angle_alpha 90.00
_cell_angle_beta 90.00
_cell_angle_gamma 116.93
loop_
_atom_site_label
_atom_site_type_symbol
_atom_site_fract_x
_atom_site_fract_y
_atom_site_fract_z
Si1 Si 0.0000 0.0000 0.2453
Si2 Si 0.0000 0.0000 0.7547
Mo1 Mo 0.5000 0.5000 0.5000
Os1 Os 0.5000 0.5000 0.0000

=====

Record 3
# SiMo2Os, optimized geometry, DFT GGA-PBE
# E_form (uncorrected) in meV per atom: 27
# Size of the total moment in μB/f.u.: 0.000
# Symmetry: I-4m2
data_SiMo2Os
_chemical_formula_sum 'Si1 Mo2 Os1'
_space_group_name_H-M_alt 'P 1'
_space_group_IT_number 1
_space_group_name_Hall 'P 1'
_cell_length_a 4.9724
_cell_length_b 4.9724
_cell_length_c 4.9724
_cell_angle_alpha 135.82
_cell_angle_beta 135.82
_cell_angle_gamma 64.26
loop_
_atom_site_label
_atom_site_type_symbol
_atom_site_fract_x
_atom_site_fract_y
_atom_site_fract_z
Si1 Si 0.0000 0.0000 0.0000
Mo1 Mo 0.2500 0.7500 0.5000
Mo2 Mo 0.5000 0.5000 0.0000
Os1 Os 0.7500 0.2500 0.5000

=====

Record 4
# SiMoOs2, optimized geometry, DFT GGA-PBE
# E_form (uncorrected) in meV per atom: -57
# Size of the total moment in μB/f.u.: 0.000
# Symmetry: Amm2
data_SiMoOs2
_chemical_formula_sum 'Si1 Mo1 Os2'
_space_group_name_H-M_alt 'P 1'
_space_group_IT_number 1
_space_group_name_Hall 'P 1'
_cell_length_a 3.9909
_cell_length_b 5.3179
_cell_length_c 5.3179
_cell_angle_alpha 30.53
_cell_angle_beta 90.00
_cell_angle_gamma 90.00
loop_
_atom_site_label
_atom_site_type_symbol
_atom_site_fract_x
_atom_site_fract_y
_atom_site_fract_z
Si1 Si 0.0000 0.0000 0.0000
Mo1 Mo 0.5000 0.6051 0.6051
Os1 Os 0.0000 0.2445 0.2445
Os2 Os 0.5000 0.8680 0.8680

=====

Record 5
# SiMo2Os, optimized geometry, DFT GGA-PBE
# E_form (uncorrected) in meV per atom: -68
# Size of the total moment in μB/f.u.: 0.000
# Symmetry: P4mm
data_SiMo2Os
_chemical_formula_sum 'Si1 Mo2 Os1'
_space_group_name_H-M_alt 'P 1'
_space_group_IT_number 1
_space_group_name_Hall 'P 1'
_cell_length_a 3.0860
_cell_length_b 3.0860
_cell_length_c 6.0944
_cell_angle_alpha 90.00
_cell_angle_beta 90.00
_cell_angle_gamma 90.00
loop_
_atom_site_label
_atom_site_type_symbol
_atom_site_fract_x
_atom_site_fract_y
_atom_site_fract_z
Si1 Si 0.0000 0.0000 0.0000
Mo1 Mo 0.0000 0.0000 0.4908
Mo2 Mo 0.5000 0.5000 0.2449
Os1 Os 0.5000 0.5000 0.7731

=====

Record 6
# SiMoOs, optimized geometry, DFT GGA-PBE
# E_form (uncorrected) in meV per atom: -37
# Size of the total moment in μB/f.u.: 0.000
# Symmetry: P3m1
data_SiMoOs
_chemical_formula_sum 'Si1 Mo1 Os1'
_space_group_name_H-M_alt 'P 1'
_space_group_IT_number 1
_space_group_name_Hall 'P 1'
_cell_length_a 2.8130
_cell_length_b 2.8130
_cell_length_c 6.2971
_cell_angle_alpha 90.00
_cell_angle_beta 90.00
_cell_angle_gamma 120.00
loop_
_atom_site_label
_atom_site_type_symbol
_atom_site_fract_x
_atom_site_fract_y
_atom_site_fract_z
Si1 Si 0.0000 0.0000 0.0000
Mo1 Mo 0.6667 0.3333 0.3392
Os1 Os 0.3333 0.6667 0.6831

=====

Record 7
# SiMo2Os, optimized geometry, DFT GGA-PBE
# E_form (uncorrected) in meV per atom: 17
# Size of the total moment in μB/f.u.: 0.000
# Symmetry: Pmm2
data_SiMo2Os
_chemical_formula_sum 'Si1 Mo2 Os1'
_space_group_name_H-M_alt 'P 1'
_space_group_IT_number 1
_space_group_name_Hall 'P 1'
_cell_length_a 2.8607
_cell_length_b 4.0117
_cell_length_c 5.1720
_cell_angle_alpha 90.00
_cell_angle_beta 90.00
_cell_angle_gamma 90.00
loop_
_atom_site_label
_atom_site_type_symbol
_atom_site_fract_x
_atom_site_fract_y
_atom_site_fract_z
Si1 Si 0.0000 0.0000 0.0000
Mo1 Mo 0.0000 0.0000 0.5050
Mo2 Mo 0.5000 0.5000 0.2415
Os1 Os 0.5000 0.5000 0.7653

=====

Record 8
# SiMoOs2, optimized geometry, DFT GGA-PBE
# E_form (uncorrected) in meV per atom: 149
# Size of the total moment in μB/f.u.: 0.000
# Symmetry: P4/mmm
data_SiMoOs2
_chemical_formula_sum 'Si1 Mo1 Os2'
_space_group_name_H-M_alt 'P 1'
_space_group_IT_number 1
_space_group_name_Hall 'P 1'
_cell_length_a 4.3999
_cell_length_b 4.3999
_cell_length_c 2.9562
_cell_angle_alpha 90.00
_cell_angle_beta 90.00
_cell_angle_gamma 90.00
loop_
_atom_site_label
_atom_site_type_symbol
_atom_site_fract_x
_atom_site_fract_y
_atom_site_fract_z
Si1 Si 0.0000 0.0000 0.0000
Mo1 Mo 0.5000 0.5000 0.0000
Os1 Os 0.0000 0.5000 0.5000
Os2 Os 0.5000 0.0000 0.5000

=====

Record 9
# SiMo2Os, optimized geometry, DFT GGA-PBE
# E_form (uncorrected) in meV per atom: -172
# Size of the total moment in μB/f.u.: 0.000
# Symmetry: Immm
data_SiMo2Os
_chemical_formula_sum 'Si1 Mo2 Os1'
_space_group_name_H-M_alt 'P 1'
_space_group_IT_number 1
_space_group_name_Hall 'P 1'
_cell_length_a 5.1051
_cell_length_b 5.1051
_cell_length_c 5.1051
_cell_angle_alpha 144.42
_cell_angle_beta 131.25
_cell_angle_gamma 61.80
loop_
_atom_site_label
_atom_site_type_symbol
_atom_site_fract_x
_atom_site_fract_y
_atom_site_fract_z
Si1 Si 0.0000 0.0000 0.0000
Mo1 Mo 0.2420 0.7420 0.5000
Mo2 Mo 0.7580 0.2580 0.5000
Os1 Os 0.5000 0.5000 0.0000

=====

Record 10
# Si2MoOs, optimized geometry, DFT GGA-PBE
# E_form (uncorrected) in meV per atom: -10
# Size of the total moment in μB/f.u.: 0.000
# Symmetry: R3m
data_Si2MoOs
_chemical_formula_sum 'Si2 Mo1 Os1'
_space_group_name_H-M_alt 'P 1'
_space_group_IT_number 1
_space_group_name_Hall 'P 1'
_cell_length_a 8.0703
_cell_length_b 8.0703
_cell_length_c 8.0703
_cell_angle_alpha 20.72
_cell_angle_beta 20.72
_cell_angle_gamma 20.72
loop_
_atom_site_label
_atom_site_type_symbol
_atom_site_fract_x
_atom_site_fract_y
_atom_site_fract_z
Si1 Si 0.0000 0.0000 0.0000
Si2 Si 0.2520 0.2520 0.2520
Mo1 Mo 0.7513 0.7513 0.7513
Os1 Os 0.5079 0.5079 0.5079

=====

Record 11
# Si4MoOs, optimized geometry, DFT GGA-PBE
# E_form (uncorrected) in meV per atom: 526
# Size of the total moment in μB/f.u.: 0.000
# Symmetry: F-43m
data_Si4MoOs
_chemical_formula_sum 'Si4 Mo1 Os1'
_space_group_name_H-M_alt 'P 1'
_space_group_IT_number 1
_space_group_name_Hall 'P 1'
_cell_length_a 4.8203
_cell_length_b 4.8203
_cell_length_c 4.8203
_cell_angle_alpha 60.00
_cell_angle_beta 60.00
_cell_angle_gamma 60.00
loop_
_atom_site_label
_atom_site_type_symbol
_atom_site_fract_x
_atom_site_fract_y
_atom_site_fract_z
Si1 Si 0.1247 0.1247 0.1247
Si2 Si 0.1247 0.1247 0.6259
Si3 Si 0.1247 0.6259 0.1247
Si4 Si 0.6259 0.1247 0.1247
Mo1 Mo 0.7500 0.7500 0.7500
Os1 Os 0.5000 0.5000 0.5000

=====

Record 12
# Si2MoOs, optimized geometry, DFT GGA-PBE
# E_form (uncorrected) in meV per atom: -24
# Size of the total moment in μB/f.u.: 0.000
# Symmetry: I-4m2
data_Si2MoOs
_chemical_formula_sum 'Si2 Mo1 Os1'
_space_group_name_H-M_alt 'P 1'
_space_group_IT_number 1
_space_group_name_Hall 'P 1'
_cell_length_a 5.1965
_cell_length_b 5.1965
_cell_length_c 5.1965
_cell_angle_alpha 140.59
_cell_angle_beta 140.59
_cell_angle_gamma 56.97
loop_
_atom_site_label
_atom_site_type_symbol
_atom_site_fract_x
_atom_site_fract_y
_atom_site_fract_z
Si1 Si 0.0000 0.0000 0.0000
Si2 Si 0.7500 0.2500 0.5000
Mo1 Mo 0.2500 0.7500 0.5000
Os1 Os 0.5000 0.5000 0.0000

=====

Record 13
# Si2Mo2Os, optimized geometry, DFT GGA-PBE
# E_form (uncorrected) in meV per atom: -242
# Size of the total moment in μB/f.u.: 0.000
# Symmetry: P4/mbm
data_Si2Mo2Os
_chemical_formula_sum 'Si4 Mo4 Os2'
_space_group_name_H-M_alt 'P 1'
_space_group_IT_number 1
_space_group_name_Hall 'P 1'
_cell_length_a 6.0661
_cell_length_b 6.0661
_cell_length_c 3.9035
_cell_angle_alpha 90.00
_cell_angle_beta 90.00
_cell_angle_gamma 90.00
loop_
_atom_site_label
_atom_site_type_symbol
_atom_site_fract_x
_atom_site_fract_y
_atom_site_fract_z
Si1 Si 0.1358 0.3642 0.0000
Si2 Si 0.3642 0.8642 0.0000
Si3 Si 0.6358 0.1358 0.0000
Si4 Si 0.8642 0.6358 0.0000
Mo1 Mo 0.1674 0.6674 0.5000
Mo2 Mo 0.3326 0.1674 0.5000
Mo3 Mo 0.6674 0.8326 0.5000
Mo4 Mo 0.8326 0.3326 0.5000
Os1 Os 0.0000 0.0000 0.0000
Os2 Os 0.5000 0.5000 0.0000

=====

Record 14
# SiMoOs, optimized geometry, DFT GGA-PBE
# E_form (uncorrected) in meV per atom: -268
# Size of the total moment in μB/f.u.: 0.000
# Symmetry: P-6m2
data_SiMoOs
_chemical_formula_sum 'Si1 Mo1 Os1'
_space_group_name_H-M_alt 'P 1'
_space_group_IT_number 1
_space_group_name_Hall 'P 1'
_cell_length_a 4.1857
_cell_length_b 4.1857
_cell_length_c 2.8399
_cell_angle_alpha 90.00
_cell_angle_beta 90.00
_cell_angle_gamma 120.00
loop_
_atom_site_label
_atom_site_type_symbol
_atom_site_fract_x
_atom_site_fract_y
_atom_site_fract_z
Si1 Si 0.0000 0.0000 0.0000
Mo1 Mo 0.3333 0.6667 0.5000
Os1 Os 0.6667 0.3333 0.0000

=====

Record 15
# Si2MoOs, optimized geometry, DFT GGA-PBE
# E_form (uncorrected) in meV per atom: -221
# Size of the total moment in μB/f.u.: 0.000
# Symmetry: Fm-3m
data_Si2MoOs
_chemical_formula_sum 'Si2 Mo1 Os1'
_space_group_name_H-M_alt 'P 1'
_space_group_IT_number 1
_space_group_name_Hall 'P 1'
_cell_length_a 4.2364
_cell_length_b 4.2364
_cell_length_c 4.2364
_cell_angle_alpha 60.00
_cell_angle_beta 60.00
_cell_angle_gamma 60.00
loop_
_atom_site_label
_atom_site_type_symbol
_atom_site_fract_x
_atom_site_fract_y
_atom_site_fract_z
Si1 Si 0.2500 0.2500 0.2500
Si2 Si 0.7500 0.7500 0.7500
Mo1 Mo 0.0000 0.0000 0.0000
Os1 Os 0.5000 0.5000 0.5000